A plane-wave DFT calculation with GGA-PBE was carried out for a relaxed structure of Te3BrN.

Cell and atoms, written as CIF:
```
data_Te3BrN
_chemical_formula_sum 'Te3 Br1 N1'
_symmetry_space_group_name_H-M 'P m -3 m'
_symmetry_Int_Tables_number 221
_symmetry_space_group_name_Hall '-P 4 2 3'
_cell_length_a 4.874
_cell_length_b 4.874
_cell_length_c 4.874
_cell_angle_alpha 90.00
_cell_angle_beta 90.00
_cell_angle_gamma 90.00
loop_
_atom_site_label
_atom_site_type_symbol
_atom_site_fract_x
_atom_site_fract_y
_atom_site_fract_z
Te1 Te 0.000 0.000 0.500
Br1 Br 0.500 0.500 0.500
N1 N 0.000 0.000 0.000
```

* energy relative to the elements, uncorrected: 0.817 eV/atom
* ΔE to the lowest computed polymorph: 0.0 kJ per mole of atoms
* DOS(E_F): 4.665 states/eV/f.u.
* calculated density: 6.84 Mg/m³